# 1
NdDy3In4 | PBE | relaxed

**Offset from the most stable computed form**: 0.0000 eV per atom
**V**: 435.0 Å³ per cell
**ΔH_f (0 K)**: -0.468 eV per atom
**Magnetization**: 0.0 μB per cell
**Raw total energy**: -4.159 eV/atom

Cell and atoms, written as POSCAR:
```
NdDy3In4
1.0
5.5101 0.0000 0.0000
0.0000 7.2888 0.0000
0.0000 0.0000 10.8304
In Dy Nd
8 6 2
Direct
0.5000 0.2427 0.5000
0.9210 0.7568 0.2500
0.9210 0.2432 0.2500
0.0790 0.7568 0.7500
0.5000 0.7573 0.5000
0.5000 0.2427 0.0000
0.0790 0.2432 0.7500
0.5000 0.7573 0.0000
0.5730 0.0000 0.7500
0.4356 0.5000 0.2500
0.4270 0.0000 0.2500
0.0000 0.0000 0.0000
0.0000 0.0000 0.5000
0.5644 0.5000 0.7500
0.0000 0.5000 0.0000
0.0000 0.5000 0.5000
```

---

# 2
Nd9Dy2In | PBE | relaxed

**V**: 398.8 Å³ per cell
**ΔH_f (0 K)**: -0.071 eV per atom
**Magnetization**: 0.0 μB per cell
**Raw total energy**: -4.642 eV/atom

Cell and atoms, written as POSCAR:
```
Nd9Dy2In
1.0
5.0701 0.0000 0.0000
0.0000 5.0701 0.0000
0.0000 0.0000 15.5120
In Nd Dy
1 9 2
Direct
0.0000 0.0000 0.0000
0.0000 0.5000 0.5000
0.5000 0.0000 0.8386
0.5000 0.0000 0.5000
0.5000 0.5000 0.0000
0.5000 0.5000 0.6694
0.0000 0.5000 0.8386
0.0000 0.5000 0.1614
0.5000 0.5000 0.3306
0.5000 0.0000 0.1614
0.0000 0.0000 0.6684
0.0000 0.0000 0.3316
```

---

Q: Among the records above, which one has the lowest raw total energy?
A: Nd9Dy2In